Entry 1:
An optimized crystal structure of BaCdRh2. Source: the Alexandria database, functional GGA-PBEsol.

Cell lengths 4.8724, 4.8724, 4.8724 Å; angles 60.00, 60.00, 60.00 degrees
Last column: nearest neighbours and their distance in Å.
Fractional coordinates of all 4 atoms:
Ba  0.5000  0.5000  0.5000  4 Cd 2.98, 4 Rh 2.98
Cd  0.2500  0.2500  0.2500  4 Ba 2.98, 4 Rh 2.98
Rh  0.0000  0.0000  0.0000  4 Rh 2.98, 4 Cd 2.98
Rh  0.7500  0.7500  0.7500  4 Ba 2.98, 4 Rh 2.98

Calculated volume   20.45 A^3/atom
Energy of formation from the pure elements   0.46 eV per atom
Theoretical density   9.25 g cm⁻³

---

Entry 2:
An optimized crystal structure of Ba2CdRh. Source: the Alexandria database, functional GGA-PBEsol.

Cell lengths 3.8326, 5.3817, 6.6044 Å; angles 114.02, 106.87, 90.00 degrees
Last column: nearest neighbours and their distance in Å.
Fractional coordinates of all 4 atoms:
Ba  0.9535  0.9531  0.9070  2 Rh 3.22, 2 Ba 3.49, 4 Cd 3.52
Ba  0.7591  0.2589  0.5181  4 Rh 3.32-3.33, 2 Ba 3.49, 2 Cd 3.52-3.53
Cd  0.5598  0.5594  0.1196  2 Rh 2.71
Rh  0.2276  0.7286  0.4553  2 Cd 2.71

Calculated volume   29.50 A^3/atom
Energy of formation from the pure elements   -0.07 eV per atom
Theoretical density   6.90 g cm⁻³

---

Entry 3:
An optimized crystal structure of Ba2CdSnRh. Source: the Alexandria database, functional GGA-PBEsol.

Cell lengths 5.0419, 5.9293, 5.9293 Å; angles 90.00, 90.00, 90.00 degrees
Last column: nearest neighbours and their distance in Å.
Fractional coordinates of all 5 atoms:
Cd  0.5000  0.5000  0.5000  8 Ba 3.89, 4 Sn 4.19
Rh  0.0000  0.0000  0.0000  2 Sn 2.52
Ba  0.0000  0.0000  0.5000  2 Rh 2.96
Ba  0.0000  0.5000  0.0000  2 Rh 2.96
Sn  0.5000  0.0000  0.0000  2 Rh 2.52

Calculated volume   35.45 A^3/atom
Energy of formation from the pure elements   -0.29 eV per atom
Theoretical density   5.70 g cm⁻³

---

Entry 4:
An optimized crystal structure of BaCdRu. Source: the Alexandria database, functional GGA-PBEsol.

Cell lengths 4.7969, 4.7969, 4.7969 Å; angles 60.00, 60.00, 60.00 degrees
Last column: nearest neighbours and their distance in Å.
Fractional coordinates of all 3 atoms:
Ba  0.0000  0.0000  0.0000  4 Ru 2.94
Cd  0.5000  0.5000  0.5000  4 Ru 2.94
Ru  0.2500  0.2500  0.2500  4 Cd 2.94, 4 Ba 2.94

Calculated volume   26.02 A^3/atom
Energy of formation from the pure elements   0.60 eV per atom
Theoretical density   7.46 g cm⁻³

---

Entry 5:
An optimized crystal structure of BaCd2Ru. Source: the Alexandria database, functional GGA-PBEsol.

Cell lengths 3.3294, 4.3774, 7.5420 Å; angles 106.87, 102.75, 90.00 degrees
Last column: nearest neighbours and their distance in Å.
Fractional coordinates of all 4 atoms:
Ba  0.1785  0.6785  0.3569  2 Ru 3.05, 2 Ba 3.33
Cd  0.9846  0.9846  0.9691  4 Ru 2.75, 2 Cd 2.98
Cd  0.8407  0.3407  0.6813  2 Ru 2.75, 2 Cd 2.98
Ru  0.4963  0.4963  0.9926  6 Cd 2.75, 2 Ba 3.05

Calculated volume   25.59 A^3/atom
Energy of formation from the pure elements   0.26 eV per atom
Theoretical density   7.52 g cm⁻³

---

Entry 6:
An optimized crystal structure of BaCd2Ru. Source: the Alexandria database, functional GGA-PBEsol.

Cell lengths 3.1290, 3.1290, 10.5700 Å; angles 81.49, 81.49, 60.00 degrees
Last column: nearest neighbours and their distance in Å.
Fractional coordinates of all 4 atoms:
Ba  0.0000  0.0000  0.0000  6 Ba 3.13
Cd  0.2350  0.2350  0.2951  3 Ru 2.80, 6 Cd 3.13
Cd  0.7650  0.7650  0.7049  3 Ru 2.80, 6 Cd 3.13
Ru  0.5000  0.5000  0.5000  6 Cd 2.80, 6 Ru 3.13

Calculated volume   22.08 A^3/atom
Energy of formation from the pure elements   0.55 eV per atom
Theoretical density   8.71 g cm⁻³